A plane-wave DFT calculation with SCAN was carried out for ZnCo2TeSe at its PBEsol-relaxed geometry.

Cell lengths 4.268, 4.268, 5.872 Å; angles 90.00, 90.00, 90.00 degrees
Site moments in Bohr magnetons follow the coordinates.
Fractional coordinates of all 5 atoms:
Te 0.000 0.000 0.500  0.00
Co 0.000 0.500 0.000  1.62
Co 0.500 0.000 0.000  1.62
Zn 0.500 0.500 0.500  0.03
Se 0.000 0.000 0.000  0.00

Results
Final energy = -20.455 eV per atom
E_form (uncorrected) = 0.6361 eV per atom
SG = P4/mmm, No. 123

=====

A plane-wave DFT calculation with SCAN was carried out for Ti2CoSe4 at its PBEsol-relaxed geometry.

Cell lengths 3.492, 5.996, 6.680 Å; angles 115.90, 105.15, 90.00 degrees
Site moments in Bohr magnetons follow the coordinates.
Fractional coordinates of all 7 atoms:
Ti 0.747 0.735 0.494  -0.02
Co 0.000 0.000 0.000  1.39
Se 0.383 0.047 0.766  0.00
Se 0.110 0.447 0.221  0.00
Ti 0.253 0.265 0.506  -0.02
Se 0.617 0.953 0.234  0.00
Se 0.890 0.553 0.779  0.00

Results
Final energy = -19.547 eV per atom
E_form (uncorrected) = -1.0213 eV per atom
SG = C2/m, No. 12

=====

A plane-wave DFT calculation with SCAN was carried out for ZrTi2CoSe at its PBEsol-relaxed geometry.

Cell lengths 4.387, 4.387, 4.869 Å; angles 90.00, 90.00, 90.00 degrees
Fractional coordinates of all 5 atoms:
Zr 0.000 0.000 0.500
Ti 0.500 0.000 0.000
Se 0.500 0.500 0.500
Co 0.000 0.000 0.000
Ti 0.000 0.500 0.000

Results
Final energy = -20.041 eV per atom
E_form (uncorrected) = -0.0123 eV per atom
SG = P4/mmm, No. 123

=====

A plane-wave DFT calculation with SCAN was carried out for TlCo2Se at its PBEsol-relaxed geometry.

Cell lengths 3.629, 3.629, 5.348 Å; angles 109.83, 109.83, 90.00 degrees
Site moments in Bohr magnetons follow the coordinates.
Fractional coordinates of all 4 atoms:
Co 0.000 0.000 0.000  1.72
Tl 0.750 0.250 0.500  -0.05
Se 0.500 0.500 0.000  0.07
Co 0.250 0.750 0.500  1.65

Results
Final energy = -31.196 eV per atom
E_form (uncorrected) = 0.5657 eV per atom
SG = I-4m2, No. 119

=====

A plane-wave DFT calculation with SCAN was carried out for TlCo2Se at its PBEsol-relaxed geometry.

Cell lengths 3.724, 4.591, 4.591 Å; angles 67.30, 66.08, 66.08 degrees
Site moments in Bohr magnetons follow the coordinates.
Fractional coordinates of all 4 atoms:
Tl 0.000 0.500 0.500  -0.04
Se 0.500 0.000 0.000  0.13
Co 0.203 0.797 0.797  1.69
Co 0.797 0.203 0.203  1.69

Results
Final energy = -31.216 eV per atom
E_form (uncorrected) = 0.5453 eV per atom
SG = Immm, No. 71

=====

A plane-wave DFT calculation with SCAN was carried out for TlCo2Se at its PBEsol-relaxed geometry.

Cell lengths 3.145, 3.145, 6.439 Å; angles 90.00, 90.00, 90.00 degrees
Site moments in Bohr magnetons follow the coordinates.
Fractional coordinates of all 4 atoms:
Co 0.000 0.000 0.959  1.36
Co 0.500 0.500 0.740  0.97
Tl 0.500 0.500 0.193  -0.04
Se 0.000 0.000 0.607  -0.08

Results
Final energy = -31.430 eV per atom
E_form (uncorrected) = 0.3311 eV per atom
SG = P4mm, No. 99

=====

A plane-wave DFT calculation with SCAN was carried out for TlCoSe at its PBEsol-relaxed geometry.

Cell lengths 4.593, 4.593, 4.593 Å; angles 60.00, 60.00, 60.00 degrees
Site moments in Bohr magnetons follow the coordinates.
Fractional coordinates of all 3 atoms:
Co 0.000 0.000 0.000  1.98
Se 0.500 0.500 0.500  0.02
Tl 0.250 0.250 0.250  -0.01

Results
Final energy = -35.947 eV per atom
E_form (uncorrected) = 0.6335 eV per atom
SG = F-43m, No. 216

=====

A plane-wave DFT calculation with SCAN was carried out for TlCo2Se2 at its PBEsol-relaxed geometry.

Cell lengths 3.773, 3.773, 7.095 Å; angles 105.42, 105.42, 90.00 degrees
Site moments in Bohr magnetons follow the coordinates.
Fractional coordinates of all 5 atoms:
Se 0.650 0.650 0.299  0.02
Tl 0.000 0.000 0.000  0.02
Co 0.750 0.250 0.500  1.03
Co 0.250 0.750 0.500  1.03
Se 0.350 0.350 0.701  0.02

Results
Final energy = -29.564 eV per atom
E_form (uncorrected) = -0.1392 eV per atom
SG = I4/mmm, No. 139

=====

A plane-wave DFT calculation with SCAN was carried out for TlCo2Se at its PBEsol-relaxed geometry.

Cell lengths 3.088, 3.344, 6.398 Å; angles 105.15, 103.97, 90.00 degrees
Fractional coordinates of all 4 atoms:
Co 0.669 0.169 0.339
Co 0.990 0.990 0.980
Tl 0.299 0.799 0.597
Se 0.542 0.542 0.084

Results
Final energy = -31.333 eV per atom
E_form (uncorrected) = 0.4282 eV per atom
SG = Imm2, No. 44

=====

A plane-wave DFT calculation with SCAN was carried out for TlCo2Se at its PBEsol-relaxed geometry.

Cell lengths 4.491, 4.491, 4.491 Å; angles 60.00, 60.00, 60.00 degrees
Site moments in Bohr magnetons follow the coordinates.
Fractional coordinates of all 4 atoms:
Tl 0.250 0.250 0.250  -0.03
Co 0.750 0.750 0.750  1.64
Se 0.500 0.500 0.500  0.04
Co 0.000 0.000 0.000  1.93

Results
Final energy = -30.904 eV per atom
E_form (uncorrected) = 0.8568 eV per atom
SG = F-43m, No. 216

=====

A plane-wave DFT calculation with SCAN was carried out for TlCo2Se at its PBEsol-relaxed geometry.

Cell lengths 4.399, 4.399, 4.399 Å; angles 60.00, 60.00, 60.00 degrees
Site moments in Bohr magnetons follow the coordinates.
Fractional coordinates of all 4 atoms:
Se 0.000 0.000 0.000  0.14
Co 0.750 0.750 0.750  1.48
Co 0.250 0.250 0.250  1.48
Tl 0.500 0.500 0.500  -0.06

Results
Final energy = -31.115 eV per atom
E_form (uncorrected) = 0.6467 eV per atom
SG = Fm-3m, No. 225

=====

A plane-wave DFT calculation with SCAN was carried out for CoWSe4 at its PBEsol-relaxed geometry.

Cell lengths 5.332, 5.332, 5.332 Å; angles 60.00, 60.00, 60.00 degrees
Site moments in Bohr magnetons follow the coordinates.
Fractional coordinates of all 6 atoms:
Se 0.375 0.375 0.375  0.00
Co 0.000 0.000 0.000  2.20
Se 0.375 0.876 0.375  0.00
Se 0.375 0.375 0.876  0.00
Se 0.876 0.375 0.375  0.00
W 0.750 0.750 0.750  1.21

Results
Final energy = -26.145 eV per atom
E_form (uncorrected) = 1.7395 eV per atom
SG = F-43m, No. 216

=====

A plane-wave DFT calculation with SCAN was carried out for CoWSe2 at its PBEsol-relaxed geometry.

Cell lengths 3.105, 3.105, 7.446 Å; angles 77.97, 77.97, 60.00 degrees
Site moments in Bohr magnetons follow the coordinates.
Fractional coordinates of all 4 atoms:
Se 0.747 0.747 0.759  -0.02
Co 0.000 0.000 0.000  1.66
Se 0.253 0.253 0.241  -0.02
W 0.500 0.500 0.500  0.08

Results
Final energy = -31.536 eV per atom
E_form (uncorrected) = 0.2512 eV per atom
SG = R-3m, No. 166

=====

A plane-wave DFT calculation with SCAN was carried out for YCo2Se2 at its PBEsol-relaxed geometry.

Cell lengths 3.764, 3.764, 6.230 Å; angles 107.58, 107.58, 90.00 degrees
Site moments in Bohr magnetons follow the coordinates.
Fractional coordinates of all 5 atoms:
Se 0.368 0.368 0.737  0.03
Se 0.632 0.632 0.263  0.03
Co 0.750 0.250 0.500  0.96
Co 0.250 0.750 0.500  0.96
Y 0.000 0.000 0.000  0.00

Results
Final energy = -21.115 eV per atom
E_form (uncorrected) = -0.5932 eV per atom
SG = I4/mmm, No. 139

=====

A plane-wave DFT calculation with SCAN was carried out for ZnCoSe3 at its PBEsol-relaxed geometry.

Cell lengths 4.617, 4.617, 4.617 Å; angles 90.00, 90.00, 90.00 degrees
Site moments in Bohr magnetons follow the coordinates.
Fractional coordinates of all 5 atoms:
Se 0.000 0.500 0.000  -0.25
Se 0.500 0.000 0.000  -0.25
Co 0.000 0.000 0.000  0.86
Zn 0.500 0.500 0.500  -0.01
Se 0.000 0.000 0.500  -0.25

Results
Final energy = -17.760 eV per atom
E_form (uncorrected) = 0.4505 eV per atom
SG = Pm-3m, No. 221